No. 1
! PmDyHo4 (PBE, relaxed); values from VASP
! VASP energy	-0.1420	hartree per atom
! DOS(E_F)	8.43	states/eV/cell
! spin magnetization	0.00	μB per atom
! formation energy	0.75	eV/atom
! symmetry	No. 12
! crystal system	monoclinic
&SYSTEM
  ibrav = 0, nat = 6, ntyp = 3
/
ATOMIC_SPECIES
Pm 145.00 Pm.upf
Dy 162.50 Dy.upf
Ho 164.93 Ho.upf
CELL_PARAMETERS angstrom
4.7118 -2.7110 0.0000
4.7118 2.7110 0.0000
-3.1259 0.0000 8.8772
ATOMIC_POSITIONS crystal
Pm 0.0000 0.0000 0.0000
Dy 0.5000 0.5000 0.5000
Ho 0.1264 0.1264 0.3780
Ho 0.3754 0.3754 0.1283
Ho 0.6246 0.6246 0.8717
Ho 0.8736 0.8736 0.6220

***

No. 2
! TaW2Cl (PBE, relaxed); values from VASP
! VASP energy	-0.3223	hartree per atom
! raw formation energy	1.13	eV/atom
! DOS(E_F)	4.37	states/eV/cell
! spin magnetization	0.00	μB per atom
! symmetry	No. 122
! crystal system	tetragonal
&SYSTEM
  ibrav = 0, nat = 8, ntyp = 3
/
ATOMIC_SPECIES
Ta 180.95 Ta.upf
W 183.84 W.upf
Cl 35.45 Cl.upf
CELL_PARAMETERS angstrom
-1.8628 1.8628 10.2287
1.8628 -1.8628 10.2287
1.8628 1.8628 -10.2287
ATOMIC_POSITIONS crystal
Ta 0.0000 0.0000 0.0000
Ta 0.7500 0.2500 0.5000
W 0.1108 0.6250 0.9858
W 0.3750 0.3608 0.4858
W 0.6392 0.1250 0.0142
W 0.8750 0.8892 0.5142
Cl 0.2500 0.7500 0.5000
Cl 0.5000 0.5000 0.0000

***

No. 3
! Zr3TaRu4 (PBE, relaxed); values from VASP
! VASP energy	-0.3633	hartree per atom
! DOS(E_F)	3.61	states/eV/cell
! spin magnetization	0.00	μB per atom
! formation energy	-0.56	eV/atom
! symmetry	No. 47
! crystal system	orthorhombic
&SYSTEM
  ibrav = 0, nat = 8, ntyp = 3
/
ATOMIC_SPECIES
Zr 91.22 Zr.upf
Ta 180.95 Ta.upf
Ru 101.07 Ru.upf
CELL_PARAMETERS angstrom
3.2395 0.0000 0.0000
0.0000 4.6040 0.0000
0.0000 0.0000 9.2023
ATOMIC_POSITIONS crystal
Zr 0.0000 0.0000 0.0000
Zr 0.0000 0.5000 0.2527
Zr 0.0000 0.5000 0.7473
Ta 0.0000 0.0000 0.5000
Ru 0.5000 0.0000 0.2598
Ru 0.5000 0.0000 0.7402
Ru 0.5000 0.5000 0.0000
Ru 0.5000 0.5000 0.5000

***

No. 4
! Hf2SiNiSb (PBE, relaxed); values from VASP
! VASP energy	-0.2634	hartree per atom
! raw formation energy	-0.12	eV/atom
! DOS(E_F)	3.25	states/eV/cell
! spin magnetization	0.00	μB per atom
! symmetry	No. 123
! crystal system	tetragonal
&SYSTEM
  ibrav = 0, nat = 5, ntyp = 4
/
ATOMIC_SPECIES
Hf 178.49 Hf.upf
Si 28.09 Si.upf
Ni 58.69 Ni.upf
Sb 121.76 Sb.upf
CELL_PARAMETERS angstrom
4.9470 0.0000 0.0000
0.0000 4.9470 0.0000
0.0000 0.0000 4.1395
ATOMIC_POSITIONS crystal
Hf 0.0000 0.5000 0.0000
Hf 0.5000 0.0000 0.0000
Si 0.0000 0.0000 0.5000
Ni 0.0000 0.0000 0.0000
Sb 0.5000 0.5000 0.5000